1.
A plane-wave DFT calculation with PBE was carried out for a geometry-optimized AsBr structure.

Summary:
Offset from the most stable computed form, meV/atom: 1081
Raw formation energy, eV/atom: 0.85

abc: 6.5853 6.5853 6.5853
angles: 90.00 90.00 90.00
Atoms (fractional coordinates):
As  0.2500  0.2500  0.2500
As  0.2500  0.7500  0.7500
As  0.7500  0.2500  0.7500
As  0.7500  0.7500  0.2500
Br  0.0000  0.0000  0.0000
Br  0.0000  0.5000  0.5000
Br  0.5000  0.0000  0.5000
Br  0.5000  0.5000  0.0000


2.
A plane-wave DFT calculation with PBE was carried out for a geometry-optimized AsBr structure.

Summary:
Offset from the most stable computed form, meV/atom: 736
Raw formation energy, eV/atom: 0.50

abc: 9.3954 9.3954 3.2316
angles: 90.00 90.00 90.00
Atoms (fractional coordinates):
As  0.3516  0.6484  0.0000
As  0.8516  0.8516  0.5000
As  0.1484  0.1484  0.5000
As  0.6484  0.3516  0.0000
Br  0.3705  0.3705  0.0000
Br  0.8705  0.1295  0.5000
Br  0.1295  0.8705  0.5000
Br  0.6295  0.6295  0.0000